The following is a DFT calculation (GGA-PBE) of a relaxed structure of SmLu2Sb.

Geometry as POSCAR:
```
SmLu2Sb
1.0
-0.654 4.664 -0.309
-4.570 -0.556 1.283
1.231 0.477 4.593
Sm Lu Sb
1 2 1
Cartesian
-1.996 2.293 2.783
0.616 0.239 2.297
-2.285 -0.278 0.641
-0.327 2.332 -0.155
```

density of states at the Fermi level = 5.16 states/eV/cell
formation energy without anion corrections = -0.44 eV per atom
symmetry = P4/mmm (123)
calculated density = 9.6 Mg/m³
magnetization = 0.00 μB per cell

The following is a DFT calculation (GGA-PBE) of a relaxed structure of Sm2LuSb.

Geometry as POSCAR:
```
Sm2LuSb
1.0
-4.310 0.036 -2.229
-1.309 -3.906 2.467
-1.776 2.793 3.480
Sm Sb Lu
2 1 1
Cartesian
-0.654 -1.953 1.234
-0.888 1.396 1.740
-2.155 0.018 -1.114
-3.697 -0.539 1.859
```

density of states at the Fermi level = 4.24 states/eV/cell
formation energy without anion corrections = -0.48 eV per atom
symmetry = P4/mmm (123)
calculated density = 8.9 Mg/m³
magnetization = 0.00 μB per cell

The following is a DFT calculation (GGA-PBE) of a relaxed structure of Sm2LuSb.

Geometry as POSCAR:
```
Sm2LuSb
1.0
4.195 0.000 0.000
0.000 4.195 0.000
0.000 0.000 6.697
Sb Sm Lu
1 2 1
Cartesian
2.098 2.098 3.349
0.000 0.000 4.929
0.000 0.000 1.768
2.098 2.098 0.000
```

density of states at the Fermi level = 3.49 states/eV/cell
formation energy without anion corrections = -0.51 eV per atom
symmetry = P4/mmm (123)
calculated density = 8.4 Mg/m³
magnetization = 0.00 μB per cell

The following is a DFT calculation (GGA-PBE) of a relaxed structure of SmLu2Sb.

Geometry as POSCAR:
```
SmLu2Sb
1.0
-2.933 3.312 -2.995
-5.320 -0.482 -0.088
-3.057 3.710 2.331
Sb Lu Sm
1 2 1
Cartesian
-5.655 3.270 -0.376
-2.827 1.635 -0.189
-8.482 4.905 -0.564
0.000 0.000 0.000
```

density of states at the Fermi level = 6.33 states/eV/cell
formation energy without anion corrections = -0.18 eV per atom
symmetry = Fm-3m (225)
calculated density = 9.6 Mg/m³
magnetization = 0.01 μB per cell